No. 1
Below is a geometry-optimized CsMgSbPt structure, with properties calculated at the PBE level.

a b c (Å): 5.231 5.231 5.231
angles (deg): 60.00 60.00 60.00
Positions (direct):
Pt 0.500 0.500 0.500
Cs 0.000 0.000 0.000
Sb 0.250 0.250 0.250
Mg 0.750 0.750 0.750

Properties
Spin magnetization   0.00 μB/f.u.
Symmetry   No. 216

***

No. 2
Below is a geometry-optimized CsMgSbPt structure, with properties calculated at the PBE level.

a b c (Å): 5.268 5.268 5.268
angles (deg): 60.00 60.00 60.00
Positions (direct):
Cs 0.500 0.500 0.500
Mg 0.750 0.750 0.750
Sb 0.000 0.000 0.000
Pt 0.250 0.250 0.250

Properties
Spin magnetization   0.00 μB/f.u.
Symmetry   No. 216

***

What did we get for volume? Answer: 101.2; 103.4 Å³/f.u., in the order shown.
What did we get for calculated total energy? Answer: -2.897; -2.884 eV per atom, in the order shown.